1.
PBE VCuAg2Ge, relaxed; ΔH_f (0 K) = 1.252 eV/atom; DOS at the Fermi energy = 4.3 states/eV/f.u.; space group = No. 123
1.0
-2.5748 2.7995 3.2318
2.1962 -2.0064 3.4877
3.5445 3.5074 -0.2143
Ag Ge Cu V
2 1 1 1
direct
0.5000 0.0000 0.0000 Ag
0.0000 0.0000 0.5000 Ag
0.5000 0.5000 0.5000 Ge
0.0000 0.5000 0.0000 Cu
0.0000 0.0000 0.0000 V

---

2.
PBE CuAg2H, relaxed; DOS at the Fermi energy = 1.3 states/eV/f.u.; offset from the most stable computed form = 7.14 kcal/mol of atoms; space group = No. 225
1.0
-3.1844 1.3962 2.5228
-3.5918 1.5785 -1.7497
-3.6689 -2.2200 0.2551
Cu H Ag
1 1 2
direct
0.5000 0.5000 0.5000 Cu
0.0000 0.0000 0.0000 H
0.2500 0.2500 0.2500 Ag
0.7500 0.7500 0.7500 Ag

---

3.
PBE Cu2AgH2, relaxed; DOS at the Fermi energy = 0.9 states/eV/f.u.; offset from the most stable computed form = 1.97 kcal/mol of atoms; space group = No. 127
1.0
-4.7595 -2.8877 -1.1200
2.6805 -4.8691 1.1631
-0.9207 0.2647 3.2302
H Ag Cu
4 2 4
direct
0.6613 0.8387 0.0000 H
0.8387 0.3387 0.0000 H
0.3387 0.1613 0.0000 H
0.1613 0.6613 0.0000 H
0.5000 0.5000 0.0000 Ag
0.0000 0.0000 0.0000 Ag
0.8264 0.3264 0.5000 Cu
0.3264 0.1736 0.5000 Cu
0.1736 0.6736 0.5000 Cu
0.6736 0.8264 0.5000 Cu

---

4.
PBE CuAgH2, relaxed; DOS at the Fermi energy = 0.9 states/eV/f.u.; offset from the most stable computed form = 1.98 kcal/mol of atoms; space group = No. 166
1.0
2.9982 0.0000 0.0000
1.4991 2.5965 0.0000
1.4991 0.8655 4.9970
Cu H Ag
1 2 1
direct
0.5000 0.5000 0.5000 Cu
0.8807 0.8807 0.3578 H
0.1193 0.1193 0.6422 H
0.0000 0.0000 0.0000 Ag

---

> Look up the DOS at the Fermi energy of the third one.

0.9 states/eV/f.u.

---

> Which value of DOS at the Fermi energy does entry 2 give?

1.3 states/eV/f.u.

---

Copy entry 4 word for word.
PBE CuAgH2, relaxed; DOS at the Fermi energy = 0.9 states/eV/f.u.; offset from the most stable computed form = 1.98 kcal/mol of atoms; space group = No. 166
1.0
2.9982 0.0000 0.0000
1.4991 2.5965 0.0000
1.4991 0.8655 4.9970
Cu H Ag
1 2 1
direct
0.5000 0.5000 0.5000 Cu
0.8807 0.8807 0.3578 H
0.1193 0.1193 0.6422 H
0.0000 0.0000 0.0000 Ag